1.
The following is a PBE calculation of an optimized crystal structure of MgRu2, from Alexandria.

Calculated values
magnetization	2.07	μB/f.u.
space group	Fm-3m, No. 225
DFT formation energy	1165	meV/atom
final energy	-16.65	eV per cell

Cell: 4.177 4.177 4.177 Å, 60.00 60.00 60.00°
Positions (direct):
Mg  0.000  0.000  0.000
Ru  0.250  0.250  0.250
Ru  0.750  0.750  0.750

***

2.
The following is a PBE calculation of an optimized crystal structure of Pa2MnSe, from Alexandria.

Calculated values
magnetization	0.00	μB/f.u.
space group	R-3m, No. 166
uncorrected formation energy	-0.56	eV/atom
final energy	-33.89	eV per cell

Cell: 7.353 7.353 7.353 Å, 30.41 30.41 30.41°
Positions (direct):
Pa  0.235  0.235  0.235
Pa  0.765  0.765  0.765
Mn  0.500  0.500  0.500
Se  0.000  0.000  0.000

***

3.
The following is a PBE calculation of an optimized crystal structure of Pu2SbPd9, from Alexandria.

Calculated values
magnetization	9.48	μB/f.u.
space group	P4/mmm, No. 123
uncorrected formation energy	-0.49	eV/atom
final energy	-85.39	eV per cell

Cell: 4.131 4.131 12.288 Å, 90.00 90.00 90.00°
Positions (direct):
Pu  0.000  0.000  0.169
Pu  0.000  0.000  0.831
Sb  0.000  0.000  0.500
Pd  0.000  0.500  0.000
Pd  0.000  0.500  0.340
Pd  0.000  0.500  0.660
Pd  0.500  0.000  0.000
Pd  0.500  0.000  0.340
Pd  0.500  0.000  0.660
Pd  0.500  0.500  0.172
Pd  0.500  0.500  0.500
Pd  0.500  0.500  0.828

***

4.
The following is a PBE calculation of an optimized crystal structure of TiCo2Ni5, from Alexandria.

Calculated values
magnetization	4.96	μB/f.u.
space group	Immm, No. 71
DFT formation energy	-39	meV/atom
final energy	-51.32	eV per cell

Cell: 6.249 6.249 6.249 Å, 156.92 102.17 82.49°
Positions (direct):
Ti  0.000  0.000  0.000
Co  0.243  0.743  0.500
Co  0.757  0.257  0.500
Ni  0.140  0.367  0.773
Ni  0.406  0.633  0.773
Ni  0.500  0.000  0.500
Ni  0.594  0.367  0.227
Ni  0.860  0.633  0.227

***

5.
The following is a PBE calculation of an optimized crystal structure of Pm2ThHg, from Alexandria.

Calculated values
magnetization	0.00	μB/f.u.
space group	P4/mmm, No. 123
DFT formation energy	-102	meV/atom
final energy	-17.63	eV per cell

Cell: 4.919 4.919 4.899 Å, 90.00 90.00 90.00°
Positions (direct):
Pm  0.000  0.500  0.000
Pm  0.500  0.000  0.000
Th  0.000  0.000  0.500
Hg  0.500  0.500  0.500

***

6.
The following is a PBE calculation of an optimized crystal structure of AlAsO, from Alexandria.

Calculated values
magnetization	0.00	μB/f.u.
space group	Cm, No. 8
uncorrected formation energy	-1.56	eV/atom
final energy	-36.04	eV per cell

Cell: 6.596 6.596 4.701 Å, 110.66 110.66 26.72°
Positions (direct):
Al  0.000  0.000  0.000
Al  0.631  0.631  0.629
As  0.316  0.316  0.054
As  0.816  0.816  0.532
O  0.072  0.072  0.415
O  0.559  0.559  0.903

***

- The highest final energy belongs to which entry?
  MgRu2